Here is an optimized crystal structure of V2O5 from Alexandria. Energies are from GGA+U.

Calculated values
E_tot: -47.63 eV for the cell shown

Unit cell a=8.934 b=8.934 c=8.934 alpha=155.56 beta=155.53 gamma=34.86
Element x y z (fractional)
V 0.204 0.204 0.000
V 0.796 0.796 0.000
O 0.110 0.110 0.000
O 0.250 0.750 0.500
O 0.500 0.000 0.500
O 0.750 0.250 0.500
O 0.890 0.890 0.000